Record 1
CdSiN2O: relaxed, PBE.

## Properties
Total moment in μB per formula unit: 2.803
Formation energy without anion corrections in meV per atom: 1823
Volume in Å³ per cell: 76
Space-group type: P4/mmm, No. 123

Unit cell a=4.233 b=4.233 c=4.218 alpha=90.00 beta=90.00 gamma=90.00
Atoms (fractional coordinates):
Si: 0.500 0.500 0.500
N: 0.000 0.500 0.000
N: 0.500 0.000 0.000
O: 0.000 0.000 0.500
Cd: 0.000 0.000 0.000

---

Record 2
TaInCo2: relaxed, PBE.

## Properties
Formation enthalpy at 0 K in eV per atom: 0.37
Total moment in μB per formula unit: 1.870
Volume in Å³ per cell: 60
Space-group type: F-43m, No. 216

Unit cell a=4.405 b=4.405 c=4.405 alpha=60.00 beta=60.00 gamma=60.00
Atoms (fractional coordinates):
Co: 0.000 0.000 0.000
Co: 0.750 0.750 0.750
In: 0.500 0.500 0.500
Ta: 0.250 0.250 0.250